An optimized crystal structure of AgMoBr. Source: Alexandria via LeMat-Bulk, functional GGA-PBE.

The structure in POSCAR format:
```
AgMoBr
1.0
7.8818 -0.0173 0.0110
7.0192 2.9113 0.0124
0.8626 -1.2421 2.6522
Br Mo Ag
1 1 1
Cartesian
5.2122 0.0394 1.8377
10.3235 1.5454 0.8806
1.0904 -1.1750 2.6095
```

Summary:
formation energy from raw total energies	62.50	kJ/mol of atoms
E above lowest polymorph	222	meV per atom
uncorrected energy	-13.4	eV per formula unit
SG	Fmm2